## Rb2Sm2USe6 (PBE)

Data for crystalline Rb2Sm2USe6 at its relaxed geometry.

POSCAR file:
```
Rb2Sm2USe6
1.0
3.6906 -6.3568 0.0000
3.6906 6.3568 0.0000
-2.5044 0.0000 8.1855
Rb Sm U Se
2 2 1 6
Direct
0.1695 0.8305 0.0000
0.8305 0.1695 0.0000
0.3335 0.6665 0.5000
0.6665 0.3335 0.5000
0.0000 0.0000 0.5000
0.0653 0.3899 0.6931
0.2570 0.2570 0.3078
0.3899 0.0653 0.6931
0.6101 0.9347 0.3069
0.7430 0.7430 0.6922
0.9347 0.6101 0.3069
```

total DFT energy (no corrections)	-5.545	eV/atom
crystal system	monoclinic
space-group type	No. 12
total magnetic moment	2.00	μB/f.u.